Compound: PRuRhO2
Source: Alexandria via LeMat-Bulk
Functional: GGA-PBE
Structure: optimized geometry

Values from the calculation:
Calculated volume: 14.6 A^3/atom
Raw formation energy: -0.117 eV/atom
SG: No. 123
Crystal system: tetragonal
Energy above the most stable polymorph in this dataset: 0.0 kJ/mol of atoms
N(E_F): 4.6 states/eV/cell
Size of the total moment: 0.649 μB/f.u.
Mass density: 6.07 g cm⁻³

Unit cell a=3.653 b=3.653 c=5.477 alpha=90.00 beta=90.00 gamma=90.00
Sites, in units of the cell vectors:
P: 0.000 0.000 0.000
Ru: 0.000 0.000 0.500
Rh: 0.500 0.500 0.000
O: 0.000 0.500 0.500
O: 0.500 0.000 0.500

---

Compound: TePCS2
Source: Alexandria via LeMat-Bulk
Functional: GGA-PBE
Structure: optimized geometry

Values from the calculation:
Calculated volume: 15.4 A^3/atom
Raw formation energy: 1.175 eV/atom
SG: No. 123
Crystal system: tetragonal
Energy above the most stable polymorph in this dataset: 0.0 kJ/mol of atoms
N(E_F): 2.9 states/eV/cell
Size of the total moment: 0.000 μB/f.u.
Mass density: 5.07 g cm⁻³

Unit cell a=4.326 b=4.326 c=4.104 alpha=90.00 beta=90.00 gamma=90.00
Sites, in units of the cell vectors:
Te: 0.000 0.000 0.000
P: 0.500 0.500 0.000
C: 0.500 0.500 0.500
S: 0.000 0.500 0.500
S: 0.500 0.000 0.500

---

Compound: ScIr
Source: Alexandria via LeMat-Bulk
Functional: GGA-PBE
Structure: optimized geometry

Values from the calculation:
Calculated volume: 23.4 A^3/atom
SG: No. 194
Electronic total energy: -7.686 eV/atom
Crystal system: hexagonal
N(E_F): 1.5 states/eV/cell
Size of the total moment: 0.000 μB/f.u.
Mass density: 8.43 g cm⁻³

Unit cell a=4.494 b=4.494 c=5.344 alpha=90.00 beta=90.00 gamma=120.00
Sites, in units of the cell vectors:
Sc: 0.333 0.667 0.250
Sc: 0.667 0.333 0.750
Ir: 0.333 0.667 0.750
Ir: 0.667 0.333 0.250

---

Compound: SrTlAg3
Source: Alexandria via LeMat-Bulk
Functional: GGA-PBE
Structure: optimized geometry

Values from the calculation:
Calculated volume: 42.1 A^3/atom
SG: No. 221
Crystal system: cubic
Energy above the most stable polymorph in this dataset: 74.2 kJ/mol of atoms
N(E_F): 0.4 states/eV/cell
Size of the total moment: 0.000 μB/f.u.
Mass density: 4.85 g cm⁻³

Unit cell a=5.950 b=5.950 c=5.950 alpha=90.00 beta=90.00 gamma=90.00
Sites, in units of the cell vectors:
Sr: 0.000 0.000 0.000
Tl: 0.500 0.500 0.500
Ag: 0.000 0.000 0.500
Ag: 0.000 0.500 0.000
Ag: 0.500 0.000 0.000

---

Compound: TmH2I4
Source: Alexandria via LeMat-Bulk
Functional: GGA-PBE
Structure: optimized geometry

Values from the calculation:
Calculated volume: 36.3 A^3/atom
SG: No. 2
Electronic total energy: -3.007 eV/atom
Crystal system: triclinic
N(E_F): 2.0 states/eV/cell
Size of the total moment: 0.464 μB/f.u.
Mass density: 4.43 g cm⁻³

Unit cell a=4.129 b=7.692 c=8.410 alpha=101.02 beta=103.98 gamma=90.20
Sites, in units of the cell vectors:
Tm: 0.000 0.000 0.000
H: 0.357 0.687 0.713
H: 0.643 0.313 0.287
I: 0.144 0.317 0.290
I: 0.416 0.177 0.826
I: 0.584 0.823 0.174
I: 0.856 0.683 0.710

---

Compound: BaFe2Ir
Source: Alexandria via LeMat-Bulk
Functional: GGA-PBE
Structure: optimized geometry

Values from the calculation:
Calculated volume: 21.0 A^3/atom
SG: No. 25
Electronic total energy: -6.436 eV/atom
Crystal system: orthorhombic
N(E_F): 4.6 states/eV/cell
Size of the total moment: 5.730 μB/f.u.
Mass density: 8.70 g cm⁻³

Unit cell a=3.176 b=4.223 c=6.278 alpha=90.00 beta=90.00 gamma=90.00
Sites, in units of the cell vectors:
Ba: 0.000 0.000 0.000
Fe: 0.000 0.500 0.591
Fe: 0.500 0.500 0.319
Ir: 0.500 0.000 0.516